Entry 1:
Density functional theory data (PBE) for a geometry-optimized Pb2WBr structure.

a b c (Å): 3.2226 3.2226 9.7399
angles (deg): 90.00 90.00 90.00
Sites, in units of the cell vectors:
Pb1 0.0000 0.0000 0.0000
Pb2 0.5000 0.5000 0.3039
W1 0.0000 0.0000 0.5185
Br1 0.5000 0.5000 0.6735

Calculated values
Offset from the most stable computed form: 187 meV/atom
Formation energy (no corrections): 0.666 eV/atom
Total magnetization: 0.5 μB per formula unit
SG: P4mm

---

Entry 2:
Density functional theory data (PBE) for a geometry-optimized SeS2NCl structure.

a b c (Å): 5.0958 5.0958 3.7328
angles (deg): 90.00 90.00 90.00
Sites, in units of the cell vectors:
Se1 0.0000 0.0000 0.0000
S1 0.0000 0.5000 0.0000
S2 0.5000 0.0000 0.0000
N1 0.0000 0.0000 0.5000
Cl1 0.5000 0.5000 0.5000

Calculated values
Offset from the most stable computed form: 112 meV/atom
Formation energy (no corrections): 1.395 eV/atom
Total magnetization: 3.1 μB per formula unit
SG: P4/mmm

---

Entry 3:
Density functional theory data (PBE) for a geometry-optimized Rb3TaAu structure.

a b c (Å): 6.4894 6.4894 6.4894
angles (deg): 90.00 90.00 90.00
Sites, in units of the cell vectors:
Rb1 0.0000 0.0000 0.5000
Rb2 0.0000 0.5000 0.0000
Rb3 0.5000 0.0000 0.0000
Ta1 0.5000 0.5000 0.5000
Au1 0.0000 0.0000 0.0000

Calculated values
Offset from the most stable computed form: 0 meV/atom
Total magnetization: 5.0 μB per formula unit
SG: Pm-3m

---

Entry 4:
Density functional theory data (PBE) for a geometry-optimized ScCoRe2 structure.

a b c (Å): 10.2535 2.7773 4.4817
angles (deg): 90.00 107.81 90.00
Sites, in units of the cell vectors:
Sc1 0.0000 0.0000 0.0000
Sc2 0.5000 0.5000 0.0000
Co1 0.0000 0.5000 0.5000
Co2 0.5000 0.0000 0.5000
Re1 0.2175 0.0000 0.7198
Re2 0.2825 0.5000 0.2802
Re3 0.7175 0.5000 0.7198
Re4 0.7825 0.0000 0.2802

Calculated values
Offset from the most stable computed form: 92 meV/atom
Total magnetization: 0.5 μB per formula unit
SG: C2/m

---

Entry 5:
Density functional theory data (PBE) for a geometry-optimized AlRePbS2 structure.

a b c (Å): 4.4251 4.4251 6.3123
angles (deg): 90.00 90.00 90.00
Sites, in units of the cell vectors:
Al1 0.0000 0.0000 0.0000
Re1 0.5000 0.5000 0.5000
Pb1 0.0000 0.0000 0.5000
S1 0.0000 0.5000 0.0000
S2 0.5000 0.0000 0.0000

Calculated values
Formation energy (no corrections): 1.050 eV/atom
Total magnetization: 3.7 μB per formula unit
SG: P4/mmm

---

Entry 6:
Density functional theory data (PBE) for a geometry-optimized Tm6PSe5 structure.

a b c (Å): 6.9570 6.9570 6.9486
angles (deg): 99.55 99.55 120.20
Sites, in units of the cell vectors:
Tm1 0.0785 0.3914 0.7353
Tm2 0.2340 0.2340 0.2630
Tm3 0.3914 0.0785 0.7353
Tm4 0.6086 0.9215 0.2647
Tm5 0.7660 0.7660 0.7370
Tm6 0.9215 0.6086 0.2647
P1 0.0000 0.0000 0.5000
Se1 0.1719 0.8281 0.0000
Se2 0.3339 0.6661 0.5000
Se3 0.5000 0.5000 0.0000
Se4 0.6661 0.3339 0.5000
Se5 0.8281 0.1719 0.0000

Calculated values
Formation energy (no corrections): -1.708 eV/atom
Total magnetization: 0.0 μB per formula unit
SG: C2/m

---

Calculated volume (computed, Å³/atom): 25.3; 19.4; 54.7; 15.2; 24.7; 22.8
Total DFT energy (no corrections) (computed, eV per atom): -4.845; -2.987; -2.458; -9.567; -4.581; -5.847